No. 1
VASP calculation (PBE-GGA) on an optimized crystal structure of Sm3Sn2Pb.

abc: 4.308 4.813 8.610
angles: 90.00 104.49 90.00
Positions (direct):
Sn (0.823, 0.500, 0.646)
Sm (0.500, 0.500, 0.000)
Sn (0.177, 0.500, 0.354)
Sm (0.666, 0.000, 0.331)
Pb (0.000, 0.000, 0.000)
Sm (0.334, 0.000, 0.669)

ΔE to the lowest computed polymorph = 0 kJ/mol of formula units
symmetry = No. 65
ΔH_f (0 K) = -0.616 eV/atom

***

No. 2
VASP calculation (PBE-GGA) on an optimized crystal structure of NdCl.

abc: 4.088 4.088 4.088
angles: 60.00 60.00 60.00
Positions (direct):
Nd (0.000, 0.000, 0.000)
Cl (0.500, 0.500, 0.500)

symmetry = No. 225
raw formation energy = -1.230 eV per atom

***

No. 3
VASP calculation (PBE-GGA) on an optimized crystal structure of MgZrI2N.

abc: 5.601 5.601 3.832
angles: 90.00 90.00 90.00
Positions (direct):
Mg (0.000, 0.000, 0.000)
Zr (0.500, 0.500, 0.500)
I (0.000, 0.500, 0.000)
N (0.000, 0.000, 0.500)
I (0.500, 0.000, 0.000)

ΔE to the lowest computed polymorph = 355 kJ/mol of formula units
symmetry = No. 123
raw formation energy = 0.502 eV per atom

***

no.,mass density (kg/m3),DOS(E_F) (states/eV/f.u.),magnetic moment (Bohr magnetons per cell)
1,8604,4.08,0.0
2,6178,1.24,0.0
3,5297,4.69,0.0